# Mn3GeH, relaxed, DFT PBE
# V in Å³/cell: 145
# Crystal system: tetragonal
# Energy in eV/atom: -6.186
# M_tot in μB/f.u.: 0.00
data_Mn3GeH
_chemical_formula_sum 'Mn6 Ge2 H2'
_cell_length_a 9.308
_cell_length_b 9.308
_cell_length_c 9.308
_cell_angle_alpha 154.87
_cell_angle_beta 154.87
_cell_angle_gamma 35.84
_symmetry_space_group_name_H-M 'P 1'
_symmetry_Int_Tables_number 1
loop_
_symmetry_equiv_pos_as_xyz
'x,y,z'
loop_
_atom_site_label
_atom_site_type_symbol
_atom_site_fract_x
_atom_site_fract_y
_atom_site_fract_z
Mn1 Mn 0.158 0.158 0.000
Mn2 Mn 0.376 0.138 0.762
Mn3 Mn 0.376 0.614 0.238
Mn4 Mn 0.386 0.624 0.762
Mn5 Mn 0.842 0.842 0.000
Mn6 Mn 0.862 0.624 0.238
Ge1 Ge 0.250 0.750 0.500
Ge2 Ge 0.500 0.500 0.000
H1 H 0.638 0.138 0.500
H2 H 0.862 0.362 0.500

# Mn3GeH, relaxed, DFT PBE
# V in Å³/cell: 108
# Crystal system: monoclinic
# Energy in eV/atom: -6.814
# M_tot in μB/f.u.: 0.00
data_Mn3GeH
_chemical_formula_sum 'Mn6 Ge2 H2'
_cell_length_a 4.041
_cell_length_b 4.992
_cell_length_c 5.662
_cell_angle_alpha 90.00
_cell_angle_beta 108.28
_cell_angle_gamma 90.00
_symmetry_space_group_name_H-M 'P 1'
_symmetry_Int_Tables_number 1
loop_
_symmetry_equiv_pos_as_xyz
'x,y,z'
loop_
_atom_site_label
_atom_site_type_symbol
_atom_site_fract_x
_atom_site_fract_y
_atom_site_fract_z
Mn1 Mn 0.001 0.250 0.468
Mn2 Mn 0.193 0.013 0.893
Mn3 Mn 0.193 0.487 0.893
Mn4 Mn 0.807 0.513 0.107
Mn5 Mn 0.807 0.987 0.107
Mn6 Mn 0.999 0.750 0.532
Ge1 Ge 0.398 0.750 0.304
Ge2 Ge 0.602 0.250 0.696
H1 H 0.124 0.250 0.179
H2 H 0.876 0.750 0.821